DFT (GGA-PBE) results for crystalline Tm4CdOsPd2 at its relaxed geometry.

The total energy is -5.676 eV per atom. The calculation puts the formation enthalpy at 0 K at -0.62 eV per atom. The value obtained for the density is 11.6 g cm⁻³.

Unit cell a=8.603 b=8.603 c=8.603 alpha=33.28 beta=33.28 gamma=33.28
Fractional positions:
1 Tm 0.116 0.116 0.116
2 Tm 0.368 0.368 0.368
3 Tm 0.632 0.632 0.632
4 Tm 0.884 0.884 0.884
5 Cd 0.500 0.500 0.500
6 Os 0.000 0.000 0.000
7 Pd 0.248 0.248 0.248
8 Pd 0.752 0.752 0.752